The following is a DFT calculation (PBE) of a relaxed structure of Na2DyNpO6.

Output
energy relative to the elements, uncorrected	-2636	meV per atom
space group	P2_1/c, No. 14
electronic total energy	-7.6295	eV per atom
spin magnetization	0.00	μB/cell

a b c (Å): 5.7646 5.9106 8.2639
angles (deg): 90.00 89.99 90.00
Fractional coordinates of all 20 atoms:
O1 0.2858 0.6875 0.0481
O2 0.8169 0.7837 0.9464
O3 0.6831 0.2837 0.5536
Dy1 0.5000 0.0000 0.0000
O4 0.5968 0.0359 0.2647
O5 0.7858 0.8125 0.5481
O6 0.2142 0.1875 0.4519
Na1 0.4926 0.4630 0.2484
O7 0.9032 0.5359 0.2353
Na2 0.9926 0.0370 0.7484
O8 0.3169 0.7163 0.4464
O9 0.7142 0.3125 0.9519
O10 0.4032 0.9641 0.7353
Na3 0.5074 0.5370 0.7516
Dy2 0.0000 0.5000 0.5000
Na4 0.0074 0.9630 0.2516
Np1 0.5000 0.0000 0.5000
O11 0.1831 0.2163 0.0536
O12 0.0968 0.4641 0.7647
Np2 0.0000 0.5000 0.0000